No. 1
Density functional theory data (PBEsol) for an optimized crystal structure of RbAlCuP2O8.

SG = No. 14
VASP energy = -7.052 eV/atom
uncorrected formation energy = -2.203 eV/atom

Cell: 5.0520 14.0694 9.4064 Å, 90.00 100.03 90.00°
Positions (direct):
Rb (0.2104, 0.1722, 0.2856)
Rb (0.2104, 0.3278, 0.7856)
Rb (0.7896, 0.6722, 0.2144)
Rb (0.7896, 0.8278, 0.7144)
Al (0.2513, 0.6299, 0.8896)
Al (0.2513, 0.8701, 0.3896)
Al (0.7487, 0.1299, 0.6104)
Al (0.7487, 0.3701, 0.1104)
Cu (0.2406, 0.0415, 0.9510)
Cu (0.2406, 0.4585, 0.4510)
Cu (0.7594, 0.5415, 0.5490)
Cu (0.7594, 0.9585, 0.0490)
P (0.2733, 0.6713, 0.5499)
P (0.2733, 0.8287, 0.0499)
P (0.2745, 0.0122, 0.6639)
P (0.2745, 0.4878, 0.1639)
P (0.7255, 0.5122, 0.8361)
P (0.7255, 0.9878, 0.3361)
P (0.7267, 0.1713, 0.9501)
P (0.7267, 0.3287, 0.4501)
O (0.0032, 0.5461, 0.8069)
O (0.0032, 0.9539, 0.3069)
O (0.0935, 0.5849, 0.4841)
O (0.0935, 0.9151, 0.9841)
O (0.1591, 0.7420, 0.9587)
O (0.1591, 0.7580, 0.4587)
O (0.2403, 0.5794, 0.0754)
O (0.2403, 0.9206, 0.5754)
O (0.2476, 0.6881, 0.7081)
O (0.2476, 0.8119, 0.2081)
O (0.4015, 0.0937, 0.5883)
O (0.4015, 0.4063, 0.0883)
O (0.4308, 0.1593, 0.9689)
O (0.4308, 0.3407, 0.4689)
O (0.4491, 0.5098, 0.3127)
O (0.4491, 0.9902, 0.8127)
O (0.5509, 0.0098, 0.1873)
O (0.5509, 0.4902, 0.6873)
O (0.5692, 0.6593, 0.5311)
O (0.5692, 0.8407, 0.0311)
O (0.5985, 0.5937, 0.9117)
O (0.5985, 0.9063, 0.4117)
O (0.7524, 0.1881, 0.7919)
O (0.7524, 0.3119, 0.2919)
O (0.7597, 0.0794, 0.4246)
O (0.7597, 0.4206, 0.9246)
O (0.8409, 0.2420, 0.5413)
O (0.8409, 0.2580, 0.0413)
O (0.9065, 0.0849, 0.0159)
O (0.9065, 0.4151, 0.5159)
O (0.9968, 0.0461, 0.6931)
O (0.9968, 0.4539, 0.1931)


No. 2
Density functional theory data (PBEsol) for an optimized crystal structure of Al4Cu13Si2Sb2O28.

SG = No. 2
VASP energy = -6.289 eV/atom
uncorrected formation energy = -1.385 eV/atom

Cell: 5.3622 8.3369 11.7605 Å, 86.15 80.25 80.89°
Positions (direct):
Al (0.0114, 0.1753, 0.0693)
Al (0.4215, 0.8557, 0.0732)
Al (0.5785, 0.1443, 0.9268)
Al (0.9886, 0.8247, 0.9307)
Cu (0.0806, 0.4986, 0.3520)
Cu (0.1078, 0.1410, 0.7837)
Cu (0.1662, 0.8632, 0.6408)
Cu (0.2248, 0.5044, 0.0751)
Cu (0.3119, 0.8517, 0.3566)
Cu (0.4482, 0.1351, 0.2111)
Cu (0.5000, 0.5000, 0.5000)
Cu (0.5518, 0.8649, 0.7889)
Cu (0.6881, 0.1483, 0.6434)
Cu (0.7752, 0.4956, 0.9249)
Cu (0.8338, 0.1368, 0.3592)
Cu (0.8922, 0.8590, 0.2162)
Cu (0.9194, 0.5014, 0.6480)
Si (0.2867, 0.1816, 0.4902)
Si (0.7133, 0.8184, 0.5098)
Sb (0.3481, 0.4978, 0.7831)
Sb (0.6519, 0.5022, 0.2169)
O (0.0659, 0.3707, 0.7690)
O (0.0808, 0.6073, 0.9167)
O (0.0994, 0.8571, 0.0579)
O (0.1213, 0.1104, 0.6095)
O (0.1453, 0.9063, 0.8016)
O (0.1864, 0.6295, 0.6582)
O (0.2151, 0.3826, 0.4823)
O (0.2339, 0.1043, 0.3723)
O (0.3447, 0.1127, 0.0510)
O (0.3847, 0.6143, 0.3473)
O (0.3916, 0.3650, 0.2000)
O (0.4051, 0.8472, 0.5045)
O (0.4912, 0.9006, 0.2081)
O (0.4965, 0.3689, 0.9125)
O (0.5035, 0.6311, 0.0875)
O (0.5088, 0.0994, 0.7919)
O (0.5949, 0.1528, 0.4955)
O (0.6084, 0.6350, 0.8000)
O (0.6153, 0.3857, 0.6527)
O (0.6553, 0.8873, 0.9490)
O (0.7661, 0.8957, 0.6277)
O (0.7849, 0.6174, 0.5177)
O (0.8136, 0.3705, 0.3418)
O (0.8547, 0.0937, 0.1984)
O (0.8787, 0.8896, 0.3905)
O (0.9006, 0.1429, 0.9421)
O (0.9192, 0.3927, 0.0833)
O (0.9341, 0.6293, 0.2310)


No. 3
Density functional theory data (PBEsol) for an optimized crystal structure of ScAl2CuO.

SG = No. 123
VASP energy = -4.904 eV/atom
uncorrected formation energy = -0.030 eV/atom

Cell: 4.9582 4.9582 3.4880 Å, 90.00 90.00 90.00°
Positions (direct):
Sc (0.0000, 0.0000, 0.0000)
Al (0.0000, 0.5000, 0.5000)
Al (0.5000, 0.0000, 0.5000)
Cu (0.5000, 0.5000, 0.5000)
O (0.5000, 0.5000, 0.0000)


No. 4
Density functional theory data (PBEsol) for an optimized crystal structure of Al2CuOs.

SG = No. 99
VASP energy = -6.334 eV/atom

Cell: 3.2246 3.2246 5.2338 Å, 90.00 90.00 90.00°
Positions (direct):
Al (0.0000, 0.0000, 0.0000)
Al (0.5000, 0.5000, 0.2972)
Cu (0.0000, 0.0000, 0.5045)
Os (0.5000, 0.5000, 0.7956)


No. 5
Density functional theory data (PBEsol) for an optimized crystal structure of Al2CuOs.

SG = No. 8
VASP energy = -6.512 eV/atom

Cell: 4.8085 4.8085 4.0155 Å, 110.19 110.19 37.85°
Positions (direct):
Al (0.0000, 0.0000, 0.0000)
Al (0.2330, 0.2330, 0.6823)
Cu (0.4971, 0.4971, 0.5004)
Os (0.7439, 0.7439, 0.1902)


No. 6
Density functional theory data (PBEsol) for an optimized crystal structure of Al2CuOs.

SG = No. 123
VASP energy = -6.538 eV/atom

Cell: 4.1743 4.1743 3.0154 Å, 90.00 90.00 90.00°
Positions (direct):
Al (0.0000, 0.5000, 0.0000)
Al (0.5000, 0.0000, 0.0000)
Cu (0.0000, 0.0000, 0.5000)
Os (0.5000, 0.5000, 0.5000)


No. 7
Density functional theory data (PBEsol) for an optimized crystal structure of Al2CuOs.

SG = No. 44
VASP energy = -6.511 eV/atom

Cell: 4.9213 4.9213 4.9213 Å, 142.58 132.53 61.95°
Positions (direct):
Al (0.0000, 0.0000, 0.0000)
Al (0.7328, 0.2328, 0.5000)
Cu (0.5013, 0.5013, 0.0000)
Os (0.2483, 0.7483, 0.5000)


No. 8
Density functional theory data (PBEsol) for an optimized crystal structure of AlCu2Os.

SG = No. 166
VASP energy = -6.106 eV/atom

Cell: 8.5249 8.5249 8.5249 Å, 18.00 18.00 18.00°
Positions (direct):
Al (0.0000, 0.0000, 0.0000)
Cu (0.2521, 0.2521, 0.2521)
Cu (0.7479, 0.7479, 0.7479)
Os (0.5000, 0.5000, 0.5000)


No. 9
Density functional theory data (PBEsol) for an optimized crystal structure of Al2CuP2.

SG = No. 139
VASP energy = -4.602 eV/atom

Cell: 6.3267 6.3267 6.3267 Å, 144.77 144.77 50.68°
Positions (direct):
Al (0.2500, 0.7500, 0.5000)
Al (0.7500, 0.2500, 0.5000)
Cu (0.0000, 0.0000, 0.0000)
P (0.3797, 0.3797, 0.0000)
P (0.6203, 0.6203, 0.0000)


No. 10
Density functional theory data (PBEsol) for an optimized crystal structure of AlCuP2Se6.

SG = No. 146
VASP energy = -4.588 eV/atom
uncorrected formation energy = -0.277 eV/atom

Cell: 7.5495 7.5495 7.5495 Å, 48.35 48.35 48.35°
Positions (direct):
Al (0.0000, 0.0000, 0.0000)
Cu (0.3385, 0.3385, 0.3385)
P (0.6126, 0.6126, 0.6126)
P (0.7233, 0.7233, 0.7233)
Se (0.0920, 0.7625, 0.3950)
Se (0.2347, 0.5931, 0.9291)
Se (0.3950, 0.0920, 0.7625)
Se (0.5931, 0.9291, 0.2347)
Se (0.7625, 0.3950, 0.0920)
Se (0.9291, 0.2347, 0.5931)


No. 11
Density functional theory data (PBEsol) for an optimized crystal structure of AlCuPb2.

SG = No. 160
VASP energy = -4.003 eV/atom

Cell: 6.6408 6.6408 6.6408 Å, 36.81 36.81 36.81°
Positions (direct):
Al (0.0000, 0.0000, 0.0000)
Cu (0.3305, 0.3305, 0.3305)
Pb (0.5699, 0.5699, 0.5699)
Pb (0.7620, 0.7620, 0.7620)


No. 12
Density functional theory data (PBEsol) for an optimized crystal structure of AlCuPb2.

SG = No. 216
VASP energy = -3.689 eV/atom

Cell: 5.0470 5.0470 5.0470 Å, 60.00 60.00 60.00°
Positions (direct):
Al (0.0000, 0.0000, 0.0000)
Cu (0.7500, 0.7500, 0.7500)
Pb (0.2500, 0.2500, 0.2500)
Pb (0.5000, 0.5000, 0.5000)


No. 13
Density functional theory data (PBEsol) for an optimized crystal structure of AlCuPd2.

SG = No. 123
VASP energy = -5.725 eV/atom

Cell: 3.9445 3.9445 3.4422 Å, 90.00 90.00 90.00°
Positions (direct):
Al (0.0000, 0.0000, 0.0000)
Cu (0.5000, 0.5000, 0.0000)
Pd (0.0000, 0.5000, 0.5000)
Pd (0.5000, 0.0000, 0.5000)


No. 14
Density functional theory data (PBEsol) for an optimized crystal structure of Al2CuPd.

SG = No. 122
VASP energy = -4.694 eV/atom

Cell: 5.4815 5.4815 5.4815 Å, 103.16 103.16 122.99°
Positions (direct):
Al (0.1188, 0.6250, 0.9938)
Al (0.3750, 0.3688, 0.4938)
Al (0.6312, 0.1250, 0.0062)
Al (0.8750, 0.8812, 0.5062)
Cu (0.0000, 0.0000, 0.0000)
Cu (0.7500, 0.2500, 0.5000)
Pd (0.2500, 0.7500, 0.5000)
Pd (0.5000, 0.5000, 0.0000)


No. 15
Density functional theory data (PBEsol) for an optimized crystal structure of AlCu2Pd2.

SG = No. 139
VASP energy = -5.131 eV/atom

Cell: 7.1990 7.1990 7.1990 Å, 154.22 154.22 36.78°
Positions (direct):
Al (0.0000, 0.0000, 0.0000)
Cu (0.2500, 0.7500, 0.5000)
Cu (0.7500, 0.2500, 0.5000)
Pd (0.4010, 0.4010, 0.0000)
Pd (0.5990, 0.5990, 0.0000)


No. 16
Density functional theory data (PBEsol) for an optimized crystal structure of Al2CuPd.

SG = No. 225
VASP energy = -5.181 eV/atom

Cell: 4.2417 4.2417 4.2417 Å, 60.00 60.00 60.00°
Positions (direct):
Al (0.2500, 0.2500, 0.2500)
Al (0.7500, 0.7500, 0.7500)
Cu (0.0000, 0.0000, 0.0000)
Pd (0.5000, 0.5000, 0.5000)


No. 17
Density functional theory data (PBEsol) for an optimized crystal structure of PrAl3Cu.

SG = No. 107
VASP energy = -4.828 eV/atom

Cell: 6.0661 6.0661 6.0661 Å, 139.40 139.40 58.77°
Positions (direct):
Pr (0.0000, 0.0000, 0.0000)
Al (0.2519, 0.7519, 0.5000)
Al (0.5925, 0.5925, 0.0000)
Al (0.7519, 0.2519, 0.5000)
Cu (0.3682, 0.3682, 0.0000)


No. 18
Density functional theory data (PBEsol) for an optimized crystal structure of PrAlCu4.

SG = No. 187
VASP energy = -4.642 eV/atom

Cell: 5.2185 5.2185 3.9657 Å, 90.00 90.00 120.00°
Positions (direct):
Pr (0.0000, 0.0000, 0.0000)
Al (0.6667, 0.3333, 0.0000)
Cu (0.0032, 0.5016, 0.5000)
Cu (0.3333, 0.6667, 0.0000)
Cu (0.4984, 0.5016, 0.5000)
Cu (0.4984, 0.9968, 0.5000)


No. 19
Density functional theory data (PBEsol) for an optimized crystal structure of AlCuPt2.

SG = No. 65
VASP energy = -6.252 eV/atom

Cell: 4.4426 4.4426 2.8324 Å, 90.00 90.00 102.42°
Positions (direct):
Al (0.0000, 0.0000, 0.0000)
Cu (0.5000, 0.5000, 0.0000)
Pt (0.0000, 0.5000, 0.5000)
Pt (0.5000, 0.0000, 0.5000)


No. 20
Density functional theory data (PBEsol) for an optimized crystal structure of AlCu2Pt.

SG = No. 139
VASP energy = -5.387 eV/atom

Cell: 4.6974 4.6974 4.6974 Å, 134.71 134.71 65.98°
Positions (direct):
Al (0.0000, 0.0000, 0.0000)
Cu (0.2500, 0.7500, 0.5000)
Cu (0.7500, 0.2500, 0.5000)
Pt (0.5000, 0.5000, 0.0000)